No. 1
Computed, not measured: a relaxed structure of GaTcO at the PBE level of DFT.

Calculated values
N(E_F): 8.1 states/eV per cell
Theoretical density: 7.51 Mg/m³
Formation energy without anion corrections: -0.65 eV/atom

Cell lengths 2.9325, 2.9325, 21.8197 Å; angles 90.00, 90.00, 120.00 degrees
Atoms (fractional coordinates):
Ga1 0.3333 0.6667 0.1143
Ga2 0.3333 0.6667 0.6431
Ga3 0.6667 0.3333 0.3569
Ga4 0.6667 0.3333 0.8857
Tc1 0.3333 0.6667 0.2634
Tc2 0.3333 0.6667 0.4541
Tc3 0.6667 0.3333 0.5459
Tc4 0.6667 0.3333 0.7366
O1 0.3333 0.6667 0.7944
O2 0.3333 0.6667 0.9232
O3 0.6667 0.3333 0.0768
O4 0.6667 0.3333 0.2056

***

No. 2
Computed, not measured: a relaxed structure of NaAlSn at the PBE level of DFT.

Calculated values
Energy of formation: -85 meV/atom
N(E_F): 1.5 states/eV per cell
Theoretical density: 3.65 Mg/m³

Cell lengths 5.9599, 5.9599, 7.8785 Å; angles 127.66, 127.66, 47.32 degrees
Atoms (fractional coordinates):
Na1 0.0668 0.0668 0.3250
Na2 0.9332 0.9332 0.6750
Al1 0.3486 0.3486 0.9216
Al2 0.6514 0.6514 0.0784
Sn1 0.3330 0.3330 0.2670
Sn2 0.6670 0.6670 0.7330

***

No. 3
Computed, not measured: a relaxed structure of KLi2TlSn at the PBE level of DFT.

Calculated values
Energy of formation: -102 meV/atom
N(E_F): 0.9 states/eV per cell
Theoretical density: 3.61 Mg/m³

Cell lengths 5.3673, 5.3673, 6.0088 Å; angles 90.00, 90.00, 90.00 degrees
Atoms (fractional coordinates):
K1 0.0000 0.0000 0.0000
Li1 0.0000 0.5000 0.5000
Li2 0.5000 0.0000 0.5000
Tl1 0.5000 0.5000 0.0000
Sn1 0.5000 0.5000 0.5000

***

No. 4
Computed, not measured: a relaxed structure of BaNi at the PBE level of DFT.

Calculated values
Energy of formation: 321 meV/atom
N(E_F): 5.5 states/eV per cell
Theoretical density: 4.93 Mg/m³

Cell lengths 4.0679, 4.0679, 9.2118 Å; angles 90.00, 90.00, 120.00 degrees
Atoms (fractional coordinates):
Ba1 0.3333 0.6667 0.2207
Ba2 0.6667 0.3333 0.7793
Ni1 0.3333 0.6667 0.5271
Ni2 0.6667 0.3333 0.4729

***

No. 5
Computed, not measured: a relaxed structure of Ca2TaRhBr at the PBE level of DFT.

Calculated values
N(E_F): 4.7 states/eV per cell
Theoretical density: 5.42 Mg/m³
Formation energy without anion corrections: 0.66 eV/atom

Cell lengths 5.3654, 5.3654, 4.7217 Å; angles 90.00, 90.00, 90.00 degrees
Atoms (fractional coordinates):
Ca1 0.0000 0.5000 0.0000
Ca2 0.5000 0.0000 0.0000
Ta1 0.0000 0.0000 0.5000
Rh1 0.5000 0.5000 0.5000
Br1 0.5000 0.5000 0.0000

***

No. 6
Computed, not measured: a relaxed structure of CeTh2Pt4 at the PBE level of DFT.

Calculated values
Energy of formation: -1166 meV/atom
N(E_F): 14.2 states/eV per cell
Theoretical density: 14.00 Mg/m³

Cell lengths 7.5280, 7.5280, 7.5280 Å; angles 109.22, 109.22, 109.98 degrees
Atoms (fractional coordinates):
Ce1 0.0000 0.0000 0.0000
Ce2 0.7500 0.2500 0.5000
Th1 0.2525 0.6250 0.1275
Th2 0.3750 0.5025 0.6275
Th3 0.4975 0.1250 0.8725
Th4 0.8750 0.7475 0.3725
Pt1 0.1220 0.2108 0.7501
Pt2 0.1219 0.7107 0.7499
Pt3 0.2893 0.0392 0.4112
Pt4 0.4607 0.3719 0.2499
Pt5 0.6281 0.8780 0.0888
Pt6 0.6280 0.8781 0.5888
Pt7 0.7892 0.5393 0.9112
Pt8 0.9608 0.3720 0.2501

***

No. 7
Computed, not measured: a relaxed structure of Sc8Cu2Sb at the PBE level of DFT.

Calculated values
N(E_F): 16.1 states/eV per cell
Theoretical density: 4.13 Mg/m³
Formation energy without anion corrections: -0.19 eV/atom

Cell lengths 7.5190, 7.5190, 4.9202 Å; angles 98.68, 98.68, 113.77 degrees
Atoms (fractional coordinates):
Sc1 0.0788 0.3278 0.5936
Sc2 0.2433 0.7567 0.0000
Sc3 0.3278 0.0788 0.5936
Sc4 0.3945 0.3945 0.1964
Sc5 0.6056 0.6056 0.8036
Sc6 0.6722 0.9212 0.4064
Sc7 0.7567 0.2433 0.0000
Sc8 0.9212 0.6722 0.4064
Cu1 0.3097 0.6903 0.5000
Cu2 0.6903 0.3097 0.5000
Sb1 0.0000 0.0000 0.0000

***

No. 8
Computed, not measured: a relaxed structure of Ca4OsCl at the PBE level of DFT.

Calculated values
N(E_F): 5.0 states/eV per cell
Theoretical density: 3.67 Mg/m³
Formation energy without anion corrections: 0.76 eV/atom

Cell lengths 6.2737, 6.2737, 6.2737 Å; angles 60.00, 60.00, 60.00 degrees
Atoms (fractional coordinates):
Ca1 0.3767 0.3767 0.3767
Ca2 0.3767 0.3767 0.8698
Ca3 0.3767 0.8698 0.3767
Ca4 0.8698 0.3767 0.3767
Os1 0.7500 0.7500 0.7500
Cl1 0.0000 0.0000 0.0000